First-principles (PBE-GGA) data for a relaxed Ac6CoIrPd2 crystal, as listed in Alexandria via LeMat-Bulk.

Cell and atoms, written as CIF:
```
data_Ac6CoIrPd2
_chemical_formula_sum 'Ac6 Co1 Ir1 Pd2'
_space_group_name_H-M_alt 'P 1'
_space_group_IT_number 1
_cell_length_a 7.552
_cell_length_b 7.552
_cell_length_c 8.199
_cell_angle_alpha 117.42
_cell_angle_beta 90.07
_cell_angle_gamma 119.91
loop_
_space_group_symop_operation_xyz
'x,y,z'
loop_
_atom_site_label
_atom_site_fract_x
_atom_site_fract_y
_atom_site_fract_z
Ac1 0.000 0.000 0.000
Ac2 0.133 0.628 0.496
Ac3 0.353 0.639 0.000
Ac4 0.504 0.285 0.495
Ac5 0.639 0.286 0.000
Ac6 0.848 0.000 0.496
Co1 0.741 0.130 0.234
Ir1 0.242 0.131 0.735
Pd1 0.424 0.495 0.280
Pd2 0.924 0.496 0.783
```

Calculated values
The uncorrected energy comes out at -5.563 eV/atom. As for the formation energy: -0.46 eV/atom. As for the total moment: 0.00 μB per cell.